# DyGaAs

A relaxed structure of DyGaAs (GGA-PBE, the Open Quantum Materials Database).

Lattice parameters (Å, degrees): 4.706 4.706 4.706 60.00 60.00 60.00
Fractional positions:
As 0.250 0.250 0.250
Dy 0.750 0.750 0.750
Ga 0.000 0.000 0.000

Calculated values
**Crystal system**: cubic
**ΔE to the lowest computed polymorph**: 57.2 meV/atom